(1)
DFT (PBE) results for a relaxed structure of Ho6Tm3PuSc2.

Spin magnetization: 6.789 μB/f.u.
D(E_F): 22.10 states/eV per cell
ΔE_f: 0.057 eV/atom
Symmetry: C2/m (12)

a b c (Å): 5.9920 5.9920 11.4180
angles (deg): 95.02 95.02 119.98
Each line ends with the local moment (μB).
Atoms (fractional coordinates):
Ho (0.4134, 0.0816, 0.2443)  0.06
Ho (0.2503, 0.2503, 0.7557)  0.06
Sc (0.3334, 0.6666, 0.0000)  0.14
Ho (0.5866, 0.9184, 0.7557)  0.06
Sc (0.6666, 0.3334, 0.0000)  0.14
Ho (0.9184, 0.5866, 0.7557)  0.06
Tm (0.1675, 0.8325, 0.5000)  -0.05
Ho (0.0816, 0.4134, 0.2443)  0.06
Ho (0.7497, 0.7497, 0.2443)  0.06
Tm (0.8325, 0.1675, 0.5000)  -0.05
Tm (0.5000, 0.5000, 0.5000)  -0.05
Pu (0.0000, 0.0000, 0.0000)  5.59

---

(2)
DFT (PBE) results for a relaxed structure of LiMg2BeBr.

Spin magnetization: 0.000 μB/f.u.
D(E_F): 2.19 states/eV per cell
Symmetry: P4/mmm (123)
Relative energy among the computed polymorphs: 0.0 kJ per mole of atoms

a b c (Å): 5.2580 4.2677 5.2580
angles (deg): 90.00 90.00 90.00
Atoms (fractional coordinates):
Mg (0.5000, 0.0000, 0.0000)
Br (0.5000, 0.5000, 0.5000)
Li (0.0000, 0.0000, 0.0000)
Be (0.0000, 0.5000, 0.0000)
Mg (0.0000, 0.0000, 0.5000)

---

(3)
DFT (PBE) results for a relaxed structure of Tb6Y3Ho2Th.

Spin magnetization: 0.000 μB/f.u.
D(E_F): 16.11 states/eV per cell
ΔE_f: 0.025 eV/atom
Symmetry: C2/m (12)

a b c (Å): 6.1651 6.1651 11.8230
angles (deg): 94.98 94.98 119.96
Atoms (fractional coordinates):
Tb (0.9170, 0.5868, 0.7516)
Ho (0.3333, 0.6667, 0.0000)
Tb (0.5868, 0.9170, 0.7516)
Th (0.0000, 0.0000, 0.0000)
Tb (0.4132, 0.0830, 0.2484)
Y (0.1672, 0.8328, 0.5000)
Tb (0.0830, 0.4132, 0.2484)
Tb (0.2470, 0.2470, 0.7517)
Ho (0.6667, 0.3333, 0.0000)
Y (0.5000, 0.5000, 0.5000)
Tb (0.7530, 0.7530, 0.2483)
Y (0.8328, 0.1672, 0.5000)

---

Question: Which value of D(E_F) does entry 2 give?
Answer: 2.19 states/eV per cell

---

Question: What is the formula in the second record?
Answer: LiMg2BeBr